No. 1
Computed, not measured: a relaxed TaAl2Ru crystal at the PBEsol level of DFT.

Cell: 3.868 3.868 4.859 Å, 113.46 113.46 90.00°
Fractional coordinates of all 4 atoms:
Al 0.750 0.250 0.500
Al 0.250 0.750 0.500
Ta 0.000 0.000 0.000
Ru 0.500 0.500 0.000

- Total energy: -7.91 eV per atom
- M_tot: 0.000 μB per formula unit
- Space-group type: I4/mmm (139)
- Density of states at the Fermi level: 3.6 states/eV per cell
- Formation enthalpy at 0 K: -179 meV/atom
- Mass density: 9.3 g/cm³

No. 2
Computed, not measured: a relaxed TaAl2Ru crystal at the PBEsol level of DFT.

Cell: 3.093 3.093 6.198 Å, 90.00 90.00 90.00°
Fractional coordinates of all 4 atoms:
Al 0.500 0.500 0.267
Al 0.000 0.000 0.010
Ru 0.000 0.000 0.481
Ta 0.500 0.500 0.743

- Total energy: -8.15 eV per atom
- M_tot: 0.000 μB per formula unit
- Space-group type: P4mm (99)
- Density of states at the Fermi level: 1.7 states/eV per cell
- Formation enthalpy at 0 K: -426 meV/atom
- Mass density: 9.4 g/cm³

No. 3
Computed, not measured: a relaxed TaAl2Ru crystal at the PBEsol level of DFT.

Cell: 4.373 4.373 4.373 Å, 60.00 60.00 60.00°
Fractional coordinates of all 4 atoms:
Ta 0.500 0.500 0.500
Ru 0.000 0.000 0.000
Al 0.250 0.250 0.250
Al 0.750 0.750 0.750

- Total energy: -7.85 eV per atom
- M_tot: 0.859 μB per formula unit
- Space-group type: Fm-3m (225)
- Density of states at the Fermi level: 4.3 states/eV per cell
- Formation enthalpy at 0 K: -121 meV/atom
- Mass density: 9.4 g/cm³